1.
The following is a GGA-PBE calculation of an optimized crystal structure of Be3Tl5, from Alexandria.

total magnetization = 0.00 μB/f.u.
ρ = 8.351 Mg/m³
energy relative to the lowest polymorph listed for this composition = 73.5 meV per atom
energy of formation = 0.54 eV/atom

Unit cell a=10.0418 b=10.5622 c=3.9333 alpha=90.00 beta=90.00 gamma=90.00
Closest atoms and distances in Å follow each position.
Space group Cmmm (No. 65)
Symmetry-distinct sites (fractional):
Be: 0.0000 0.0000 0.0000 x2  4 Be 2.21
Be: 0.0000 0.0955 0.5000 x4  3 Be 2.02-2.21
Tl: 0.0000 0.5000 0.0000 x2  4 Tl 3.22
Tl: 0.2456 0.0000 0.5000 x4  2 Be 2.66
Tl: 0.2500 0.2500 0.0000 x4  6 Tl 3.29-3.64, 6 Be 3.58-3.64

***

2.
The following is a GGA-PBE calculation of an optimized crystal structure of LaCuRe, from Alexandria.

total magnetization = 0.00 μB/f.u.
ρ = 11.444 Mg/m³
energy relative to the lowest polymorph listed for this composition = 95.7 meV per atom
energy of formation = 0.54 eV/atom

Unit cell a=2.9405 b=2.9405 c=13.0442 alpha=90.00 beta=90.00 gamma=90.00
Closest atoms and distances in Å follow each position.
Space group I4mm (No. 107)
Symmetry-distinct sites (fractional):
La: 0.0000 0.0000 0.0000 x2  4 La 2.94, 4 Cu 3.20, 4 Re 3.28
Cu: 0.0000 0.0000 0.6869 x2  4 Re 2.59
Re: 0.0000 0.0000 0.3057 x2  4 Cu 2.59

***

3.
The following is a GGA-PBE calculation of an optimized crystal structure of Ga2IrAu, from Alexandria.

total magnetization = 0.00 μB/f.u.
ρ = 9.293 Mg/m³
energy of formation = 0.19 eV/atom

Unit cell a=5.7549 b=5.7549 c=11.4085 alpha=90.00 beta=90.00 gamma=90.00
Closest atoms and distances in Å follow each position.
Space group I-42d (No. 122)
Symmetry-distinct sites (fractional):
Ga: 0.2236 0.2500 0.1250 x8  2 Ir 2.40, 2 Au 2.58
Ir: 0.0000 0.0000 0.0000 x4  4 Ga 2.40
Au: 0.0000 0.0000 0.5000 x4  4 Ga 2.58

***

4.
The following is a GGA-PBE calculation of an optimized crystal structure of CrTe2P, from Alexandria.

total magnetization = 3.13 μB/f.u.
ρ = 5.702 Mg/m³
raw formation energy = 0.09 eV/atom

Unit cell a=3.7493 b=3.8209 c=13.7503 alpha=90.00 beta=90.00 gamma=90.00
Closest atoms and distances in Å follow each position.
Space group Immm (No. 71)
Symmetry-distinct sites (fractional):
Cr: 0.0000 0.0000 0.0000 x2  4 P 2.68, 4 Te 2.77
Te: 0.0000 0.5000 0.3512 x4  2 Cr 2.77, 2 P 2.80
P: 0.0000 0.0000 0.5000 x2  4 Cr 2.68, 4 Te 2.80

***

5.
The following is a GGA-PBE calculation of an optimized crystal structure of MoRuC2S, from Alexandria.

total magnetization = 2.18 μB/f.u.
ρ = 5.089 Mg/m³
raw formation energy = 1.90 eV/atom

Unit cell a=3.8850 b=3.8850 c=5.4722 alpha=90.00 beta=90.00 gamma=90.00
Closest atoms and distances in Å follow each position.
Space group P4/mmm (No. 123)
Symmetry-distinct sites (fractional):
Mo: 0.0000 0.0000 0.0000 x1  4 C 1.94
Ru: 0.0000 0.0000 0.5000 x1  2 Mo 2.74, 4 S 2.75
C: 0.0000 0.5000 0.0000 x2  2 Mo 1.94
S: 0.5000 0.5000 0.5000 x1  4 Ru 2.75

***

6.
The following is a GGA-PBE calculation of an optimized crystal structure of Pa2TlFe, from Alexandria.

total magnetization = 0.00 μB/f.u.
ρ = 12.265 Mg/m³
energy relative to the lowest polymorph listed for this composition = 17.2 meV per atom
energy of formation = 0.04 eV/atom

Unit cell a=3.6396 b=3.6396 c=25.5744 alpha=90.00 beta=90.00 gamma=120.00
Closest atoms and distances in Å follow each position.
Space group R3m (No. 160, hexagonal axes)
Symmetry-distinct sites (fractional):
Pa: 0.0000 0.0000 0.0000 x3  3 Fe 2.65
Pa: 0.0000 0.0000 0.2132 x3  3 Fe 2.56
Tl: 0.0000 0.0000 0.7727 x3  6 Pa 3.43-3.45, 6 Tl 3.64
Fe: 0.0000 0.0000 0.6034 x3  6 Pa 2.56-2.65

***

7.
The following is a GGA-PBE calculation of an optimized crystal structure of Nd5Pu3S8, from Alexandria.

total magnetization = 16.86 μB/f.u.
ρ = 7.679 Mg/m³
raw formation energy = -1.94 eV/atom

Unit cell a=8.0388 b=8.0388 c=19.8178 alpha=90.00 beta=90.00 gamma=120.00
Closest atoms and distances in Å follow each position.
Space group R-3m (No. 166, hexagonal axes)
Symmetry-distinct sites (fractional):
Nd: 0.0000 0.0000 0.0000 x3  6 S 2.85
Nd: 0.0000 0.0000 0.5000 x3  6 S 2.85
Nd: 0.0000 0.5000 0.0000 x9  6 S 2.89
Pu: 0.0000 0.5000 0.5000 x9  6 S 2.81
S: 0.0000 0.0000 0.2463 x6  3 Pu 2.81, 3 Nd 2.89
S: 0.0047 0.5024 0.7523 x18  2 Pu 2.81, 4 Nd 2.85-2.89

***

8.
The following is a GGA-PBE calculation of an optimized crystal structure of TbHoPb2, from Alexandria.

total magnetization = 0.00 μB/f.u.
ρ = 10.669 Mg/m³
energy of formation = -0.37 eV/atom

Unit cell a=7.7172 b=7.7172 c=7.7172 alpha=90.00 beta=90.00 gamma=90.00
Closest atoms and distances in Å follow each position.
Space group Fm-3m (No. 225)
Symmetry-distinct sites (fractional):
Tb: 0.0000 0.0000 0.0000 x4  8 Pb 3.34
Ho: 0.0000 0.0000 0.5000 x4  8 Pb 3.34
Pb: 0.2500 0.2500 0.2500 x8  4 Tb 3.34, 4 Ho 3.34

***

9.
The following is a GGA-PBE calculation of an optimized crystal structure of Sc2NbIr, from Alexandria.

total magnetization = 0.00 μB/f.u.
ρ = 8.320 Mg/m³
energy relative to the lowest polymorph listed for this composition = 0.0 meV per atom
energy of formation = -0.42 eV/atom

Unit cell a=3.1658 b=3.1658 c=7.4683 alpha=90.00 beta=90.00 gamma=90.00
Closest atoms and distances in Å follow each position.
Space group P4/mmm (No. 123)
Symmetry-distinct sites (fractional):
Sc: 0.0000 0.0000 0.2197 x2  4 Ir 2.78, 4 Nb 3.06
Nb: 0.5000 0.5000 0.5000 x1  8 Sc 3.06, 4 Nb 3.17
Ir: 0.5000 0.5000 0.0000 x1  8 Sc 2.78

***

10.
The following is a GGA-PBE calculation of an optimized crystal structure of PaBHO5, from Alexandria.

total magnetization = 0.99 μB/f.u.
ρ = 6.695 Mg/m³
VASP energy = -7.655 eV per atom

Unit cell a=6.9168 b=8.8219 c=5.4369 alpha=90.00 beta=105.10 gamma=90.00
Closest atoms and distances in Å follow each position.
Space group C2/c (No. 15)
Symmetry-distinct sites (fractional):
Pa: 0.0000 0.2124 0.2500 x4  5 O 2.11-2.36
B: 0.0000 0.1541 0.7500 x4  4 O 1.46-1.48
H: 0.0000 0.5000 0.0000 x4  2 O 1.42
O: 0.0000 0.4517 0.2500 x4  2 H 1.42
O: 0.1196 0.0632 0.9598 x8  1 B 1.46
O: 0.1442 0.2479 0.6590 x8  1 B 1.48

***

11.
The following is a GGA-PBE calculation of an optimized crystal structure of La3Pm4ErSe8, from Alexandria.

total magnetization = 0.00 μB/f.u.
ρ = 6.998 Mg/m³
raw formation energy = -1.87 eV/atom

Unit cell a=8.4577 b=8.4577 c=20.6360 alpha=90.00 beta=90.00 gamma=120.00
Closest atoms and distances in Å follow each position.
Space group R-3m (No. 166, hexagonal axes)
Symmetry-distinct sites (fractional):
La: 0.0000 0.5000 0.0000 x9  6 Se 3.02
Pm: 0.0000 0.0000 0.5000 x3  6 Se 3.06
Pm: 0.0000 0.5000 0.5000 x9  6 Se 2.96
Er: 0.0000 0.0000 0.0000 x3  6 Se 2.92
Se: 0.0000 0.0000 0.2474 x6  3 Pm 2.96, 3 La 3.02
Se: 0.0109 0.5055 0.7497 x18  1 Er 2.92, 3 Pm 2.96-3.06, 2 La 3.02

***

12.
The following is a GGA-PBE calculation of an optimized crystal structure of ZnSb2Pb, from Alexandria.

total magnetization = 0.00 μB/f.u.
ρ = 7.995 Mg/m³
raw formation energy = 0.19 eV/atom

Unit cell a=4.6907 b=4.6907 c=9.7446 alpha=90.00 beta=90.00 gamma=90.00
Closest atoms and distances in Å follow each position.
Space group I4/mmm (No. 139)
Symmetry-distinct sites (fractional):
Zn: 0.0000 0.0000 0.0000 x2  4 Pb 3.32, 8 Sb 3.38
Sb: 0.0000 0.5000 0.2500 x4  4 Sb 3.32, 4 Pb 3.38, 4 Zn 3.38
Pb: 0.0000 0.0000 0.5000 x2  4 Zn 3.32, 8 Sb 3.38

***

13.
The following is a GGA-PBE calculation of an optimized crystal structure of CsFeBr4, from Alexandria.

total magnetization = 5.00 μB/f.u.
ρ = 3.406 Mg/m³
raw formation energy = -1.00 eV/atom

Unit cell a=12.6304 b=7.6234 c=10.2955 alpha=90.00 beta=90.00 gamma=90.00
Closest atoms and distances in Å follow each position.
Space group Pnma (No. 62)
Symmetry-distinct sites (fractional):
Cs: 0.1826 0.2500 0.1586 x4  10 Br 3.85-4.30
Fe: 0.0634 0.2500 0.6993 x4  4 Br 2.34-2.37
Br: 0.0860 0.9998 0.8330 x8  1 Fe 2.37
Br: 0.1082 0.7500 0.3868 x4  1 Fe 2.34
Br: 0.1953 0.2500 0.5380 x4  1 Fe 2.35

***

14.
The following is a GGA-PBE calculation of an optimized crystal structure of Ac3Rh2Au, from Alexandria.

total magnetization = 0.00 μB/f.u.
ρ = 10.222 Mg/m³
energy relative to the lowest polymorph listed for this composition = 171.5 meV per atom
energy of formation = -0.45 eV/atom

Unit cell a=4.1035 b=4.5403 c=9.6742 alpha=90.00 beta=102.37 gamma=90.00
Closest atoms and distances in Å follow each position.
Space group P2/m (No. 10)
Symmetry-distinct sites (fractional):
Ac: 0.0000 0.0000 0.0000 x1  4 Au 3.06, 4 Rh 3.12-3.13
Ac: 0.1584 0.5000 0.3191 x2  4 Rh 3.13
Rh: 0.3756 0.0000 0.7503 x2  6 Ac 3.12-3.13, 2 Au 3.27
Au: 0.5000 0.5000 0.0000 x1  4 Ac 3.06, 4 Rh 3.27

***

15.
The following is a GGA-PBE calculation of an optimized crystal structure of Li2Y2Pt, from Alexandria.

total magnetization = 0.00 μB/f.u.
ρ = 5.482 Mg/m³
energy relative to the lowest polymorph listed for this composition = 0.0 meV per atom
energy of formation = -0.35 eV/atom

Unit cell a=3.5562 b=3.5562 c=18.5292 alpha=90.00 beta=90.00 gamma=90.00
Closest atoms and distances in Å follow each position.
Space group I4/mmm (No. 139)
Symmetry-distinct sites (fractional):
Li: 0.0000 0.5000 0.2500 x4  4 Li 2.51
Y: 0.0000 0.0000 0.0893 x4  4 Pt 3.01, 1 Y 3.31
Pt: 0.0000 0.0000 0.5000 x2  8 Y 3.01

***

16.
The following is a GGA-PBE calculation of an optimized crystal structure of KCd2Ni, from Alexandria.

total magnetization = 0.00 μB/f.u.
ρ = 3.946 Mg/m³
energy relative to the lowest polymorph listed for this composition = 159.1 meV per atom
energy of formation = 0.26 eV/atom

Unit cell a=5.6608 b=5.6608 c=16.9457 alpha=90.00 beta=90.00 gamma=90.00
Closest atoms and distances in Å follow each position.
Space group I4_1/amd (No. 141, origin choice 2)
Symmetry-distinct sites (fractional):
K: 0.0000 0.2500 0.3750 x4  8 Cd 3.81, 4 Ni 4.00
Cd: 0.0000 0.0000 0.0000 x8  2 Ni 2.55, 2 Cd 2.83
Ni: 0.0000 0.2500 0.8750 x4  4 Cd 2.55

***

17.
The following is a GGA-PBE calculation of an optimized crystal structure of FeCo2HAu, from Alexandria.

total magnetization = 5.88 μB/f.u.
ρ = 11.557 Mg/m³
VASP energy = -5.788 eV per atom

Unit cell a=3.7693 b=3.7693 c=3.7589 alpha=90.00 beta=90.00 gamma=90.00
Closest atoms and distances in Å follow each position.
Space group P4/mmm (No. 123)
Symmetry-distinct sites (fractional):
Fe: 0.0000 0.0000 0.0000 x1  2 H 1.88
Co: 0.0000 0.5000 0.5000 x2  2 H 1.88
H: 0.0000 0.0000 0.5000 x1  2 Fe 1.88, 4 Co 1.88
Au: 0.5000 0.5000 0.0000 x1  8 Co 2.66, 4 Fe 2.67

***

18.
The following is a GGA-PBE calculation of an optimized crystal structure of CaPuNi, from Alexandria.

total magnetization = 6.14 μB/f.u.
ρ = 7.846 Mg/m³
energy relative to the lowest polymorph listed for this composition = 0.0 meV per atom
energy of formation = 0.01 eV/atom

Unit cell a=11.1360 b=3.9380 c=8.1750 alpha=90.00 beta=125.96 gamma=90.00
Closest atoms and distances in Å follow each position.
Space group C2/m (No. 12)
Symmetry-distinct sites (fractional):
Ca: 0.0847 0.0000 0.3684 x4  4 Ni 2.95-2.98
Pu: 0.1757 0.5000 0.0720 x4  3 Ni 2.76-2.98
Ni: 0.1286 0.5000 0.6733 x4  1 Ni 2.59, 2 Pu 2.76

***

19.
The following is a GGA-PBE calculation of an optimized crystal structure of LuHRu3, from Alexandria.

total magnetization = 0.00 μB/f.u.
ρ = 12.053 Mg/m³
VASP energy = -7.203 eV per atom

Unit cell a=4.0416 b=4.0416 c=4.0416 alpha=90.00 beta=90.00 gamma=90.00
Closest atoms and distances in Å follow each position.
Space group Pm-3m (No. 221)
Symmetry-distinct sites (fractional):
Lu: 0.0000 0.0000 0.0000 x1  12 Ru 2.86
H: 0.5000 0.5000 0.5000 x1  6 Ru 2.02
Ru: 0.0000 0.5000 0.5000 x3  2 H 2.02

***

20.
The following is a GGA-PBE calculation of an optimized crystal structure of SiPSeN2, from Alexandria.

total magnetization = 0.58 μB/f.u.
ρ = 3.302 Mg/m³
energy relative to the lowest polymorph listed for this composition = 265.6 meV per atom
raw formation energy = 0.94 eV/atom

Unit cell a=3.4167 b=3.4167 c=7.1530 alpha=90.00 beta=90.00 gamma=90.00
Closest atoms and distances in Å follow each position.
Space group P4/mmm (No. 123)
Symmetry-distinct sites (fractional):
Si: 0.0000 0.0000 0.0000 x1  4 Se 2.42
P: 0.5000 0.5000 0.5000 x1  4 N 1.71
Se: 0.5000 0.5000 0.0000 x1  4 Si 2.42
N: 0.0000 0.5000 0.5000 x2  2 P 1.71

***

21.
The following is a GGA-PBE calculation of an optimized crystal structure of PaCuRuO5, from Alexandria.

total magnetization = 2.04 μB/f.u.
ρ = 7.134 Mg/m³
raw formation energy = -1.68 eV/atom

Unit cell a=6.7180 b=9.1974 c=7.7082 alpha=90.00 beta=111.59 gamma=90.00
Closest atoms and distances in Å follow each position.
Space group C2/c (No. 15)
Symmetry-distinct sites (fractional):
Pa: 0.2500 0.2500 0.0000 x4  6 O 2.13-2.35
Cu: 0.0000 0.0590 0.2500 x4  4 O 1.92-2.01
Ru: 0.0000 0.4032 0.2500 x4  5 O 2.00-2.01
O: 0.0000 0.3779 0.7500 x4  1 Ru 2.01
O: 0.0184 0.2311 0.4168 x8  1 Ru 2.01, 1 Cu 2.01, 1 Pa 2.13
O: 0.2293 0.0786 0.7990 x8  1 Cu 1.92, 1 Ru 2.00

***

22.
The following is a GGA-PBE calculation of an optimized crystal structure of MnTeBr, from Alexandria.

total magnetization = 4.65 μB/f.u.
ρ = 5.203 Mg/m³
raw formation energy = -0.10 eV/atom

Unit cell a=3.3525 b=3.3525 c=14.9035 alpha=90.00 beta=90.00 gamma=90.00
Closest atoms and distances in Å follow each position.
Space group I4mm (No. 107)
Symmetry-distinct sites (fractional):
Mn: 0.0000 0.0000 0.0000 x2  4 Br 2.86, 4 Te 3.08
Te: 0.0000 0.0000 0.6321 x2  4 Mn 3.08, 4 Te 3.35
Br: 0.0000 0.0000 0.3928 x2  4 Mn 2.86

***

23.
The following is a GGA-PBE calculation of an optimized crystal structure of NaBeZn2P, from Alexandria.

total magnetization = 0.00 μB/f.u.
ρ = 2.972 Mg/m³
energy of formation = 1.45 eV/atom

Unit cell a=4.8309 b=4.8309 c=4.6391 alpha=90.00 beta=90.00 gamma=90.00
Closest atoms and distances in Å follow each position.
Space group P4/mmm (No. 123)
Symmetry-distinct sites (fractional):
Na: 0.0000 0.0000 0.0000 x1  2 Be 2.32, 4 Zn 2.42
Be: 0.0000 0.0000 0.5000 x1  2 Na 2.32
Zn: 0.0000 0.5000 0.0000 x2  2 Na 2.42
P: 0.5000 0.5000 0.5000 x1  8 Zn 3.35, 4 Be 3.42

***

24.
The following is a GGA-PBE calculation of an optimized crystal structure of FeRh2W, from Alexandria.

total magnetization = 2.44 μB/f.u.
ρ = 13.214 Mg/m³
energy relative to the lowest polymorph listed for this composition = 0.0 meV per atom
energy of formation = -0.16 eV/atom

Unit cell a=3.8488 b=3.8488 c=7.5586 alpha=90.00 beta=90.00 gamma=90.00
Closest atoms and distances in Å follow each position.
Space group I4/mmm (No. 139)
Symmetry-distinct sites (fractional):
Fe: 0.0000 0.0000 0.0000 x2  8 Rh 2.70, 4 W 2.72
Rh: 0.0000 0.5000 0.2500 x4  4 W 2.70, 4 Fe 2.70, 4 Rh 2.72
W: 0.0000 0.0000 0.5000 x2  8 Rh 2.70, 4 Fe 2.72